1.
A plane-wave DFT calculation with PBE was carried out for a relaxed Tb2Nd3Dy7 crystal.

Cell: 5.8480 3.5781 18.8394 Å, 90.00 93.08 90.00°
Last column: nearest neighbours and their distance in Å.
Sites, in units of the cell vectors:
Tb 0.2104 0.0000 0.2928  3 Dy 3.19-3.33
Tb 0.7896 0.0000 0.7072  3 Dy 3.19-3.33
Nd 0.0000 0.0000 0.0000  8 Dy 3.38-3.43, 2 Nd 3.58
Nd 0.2785 0.5000 0.6333  2 Nd 3.58, 6 Dy 3.68-3.89, 4 Tb 3.69-3.71
Nd 0.7215 0.5000 0.3667  2 Nd 3.58, 6 Dy 3.68-3.89, 4 Tb 3.69-3.71
Dy 0.1902 0.5000 0.1437  2 Tb 3.33, 7 Dy 3.34-3.58, 2 Nd 3.38
Dy 0.2428 0.0000 0.4625  1 Tb 3.19, 2 Dy 3.24-3.25
Dy 0.3076 0.0000 0.8246  8 Dy 3.46-3.87, 2 Tb 3.65-3.67, 1 Nd 3.85
Dy 0.5000 0.5000 0.0000  4 Dy 3.34-3.58, 4 Nd 3.43
Dy 0.6924 0.0000 0.1754  8 Dy 3.46-3.87, 2 Tb 3.65-3.67, 1 Nd 3.85
Dy 0.7572 0.0000 0.5375  1 Tb 3.19, 2 Dy 3.24-3.25
Dy 0.8098 0.5000 0.8563  2 Tb 3.33, 7 Dy 3.34-3.58, 2 Nd 3.38

## Properties
Its space group is P2/m.

=====

2.
A plane-wave DFT calculation with PBE was carried out for a relaxed NaTl7Pb3 crystal.

Cell: 6.9297 6.9297 8.3557 Å, 90.00 90.00 120.00°
Last column: nearest neighbours and their distance in Å.
Sites, in units of the cell vectors:
Na 0.0000 0.0000 0.0000  9 Tl 3.46-3.47, 3 Pb 3.50
Tl 0.3333 0.6667 0.3103  9 Tl 3.47, 3 Pb 3.51
Tl 0.3403 0.1702 0.3336  2 Pb 3.38, 8 Tl 3.39-3.57, 1 Na 3.46
Tl 0.5045 0.0091 0.9762  2 Pb 3.34, 7 Tl 3.37-3.57, 2 Na 3.47
Tl 0.5045 0.4955 0.9762  2 Pb 3.34, 7 Tl 3.37-3.57, 2 Na 3.47
Tl 0.8298 0.1702 0.3336  2 Pb 3.38, 8 Tl 3.39-3.57, 1 Na 3.46
Tl 0.8298 0.6597 0.3336  2 Pb 3.38, 8 Tl 3.39-3.57, 1 Na 3.46
Tl 0.9909 0.4955 0.9762  2 Pb 3.34, 7 Tl 3.37-3.57, 2 Na 3.47
Pb 0.1679 0.3358 0.6574  5 Tl 3.34-3.51, 4 Pb 3.44-3.49, 1 Na 3.50
Pb 0.1679 0.8321 0.6574  5 Tl 3.34-3.51, 4 Pb 3.44-3.49, 1 Na 3.50
Pb 0.6642 0.8321 0.6574  5 Tl 3.34-3.51, 4 Pb 3.44-3.49, 1 Na 3.50

## Properties
As for the distance to the lowest polymorph of the same formula: 23 meV/atom. Its space group is P3m1.

=====

3.
A plane-wave DFT calculation with PBE was carried out for a relaxed Na3Au2F8 crystal.

Cell: 6.9726 6.9726 6.9726 Å, 55.59 55.59 55.59°
Last column: nearest neighbours and their distance in Å.
Sites, in units of the cell vectors:
Na 0.0000 0.0000 0.0000  6 F 2.39
Na 0.1900 0.1900 0.1900  4 F 2.15-2.28
Na 0.8100 0.8100 0.8100  4 F 2.15-2.28
Au 0.4280 0.4280 0.4280  4 F 2.05-2.13
Au 0.5720 0.5720 0.5720  4 F 2.05-2.13
F 0.1891 0.7564 0.7564  1 Au 2.13, 1 Na 2.28
F 0.2436 0.2436 0.8109  1 Au 2.13, 1 Na 2.28
F 0.2436 0.8109 0.2436  1 Au 2.13, 1 Na 2.28
F 0.3119 0.3119 0.3119  1 Au 2.05, 1 Na 2.15
F 0.6881 0.6881 0.6881  1 Au 2.05, 1 Na 2.15
F 0.7564 0.1891 0.7564  1 Au 2.13, 1 Na 2.28
F 0.7564 0.7564 0.1891  1 Au 2.13, 1 Na 2.28
F 0.8109 0.2436 0.2436  1 Au 2.13, 1 Na 2.28

## Properties
The raw formation energy comes out at -2016 kJ/mol of formula units. Its space group is R-3m.

=====

E, respectively: -4.563, -2.622, -3.567 eV per atom.